[1]
An optimized crystal structure of Ac8Hg3Ir3Rh. Source: Alexandria, functional PBE.

Results
Crystal system: monoclinic

abc: 8.7208 8.7292 9.5199
angles: 117.39 90.00 119.97
Sites, in units of the cell vectors:
Hg (0.0000, 0.0000, 0.0000)
Hg (0.5000, 0.5000, 0.0000)
Hg (0.0000, 0.5000, 0.0000)
Ir (0.0000, 0.5000, 0.5000)
Ir (0.5000, 0.5000, 0.5000)
Ir (0.5000, 0.0000, 0.5000)
Ac (0.7669, 0.5337, 0.2994)
Ac (0.7670, 0.0322, 0.2994)
Ac (0.2331, 0.4663, 0.7006)
Ac (0.2653, 0.0322, 0.2994)
Ac (0.7347, 0.9678, 0.7006)
Ac (0.7333, 0.4667, 0.6999)
Ac (0.2330, 0.9678, 0.7006)
Ac (0.2667, 0.5333, 0.3001)
Rh (0.0000, 0.0000, 0.5000)

***

[2]
An optimized crystal structure of TmHfMnTc. Source: Alexandria, functional PBE.

Results
Crystal system: cubic

abc: 4.7009 4.7009 4.7009
angles: 60.00 60.00 60.00
Each line ends with the local moment (μB).
Sites, in units of the cell vectors:
Hf (0.7500, 0.7500, 0.7500)  -0.26
Tc (0.0000, 0.0000, 0.0000)  0.19
Mn (0.5000, 0.5000, 0.5000)  2.70
Tm (0.2500, 0.2500, 0.2500)  -0.10

***

[3]
An optimized crystal structure of EuHgBi. Source: Alexandria, functional PBE.

Results
Crystal system: cubic
Energy above the lowest structure with this stoichiometry (eV/atom): 0.038

abc: 5.2181 5.2181 5.2181
angles: 60.00 60.00 60.00
Each line ends with the local moment (μB).
Sites, in units of the cell vectors:
Bi (0.0000, 0.0000, 0.0000)  -0.06
Hg (0.2500, 0.2500, 0.2500)  -0.01
Eu (0.5000, 0.5000, 0.5000)  6.87

***

[4]
An optimized crystal structure of CaAlV2Zn. Source: Alexandria, functional PBE.

Results
Crystal system: tetragonal

abc: 4.4516 4.9493 4.4516
angles: 90.00 90.00 90.00
Sites, in units of the cell vectors:
Ca (0.0000, 0.0000, 0.0000)
V (0.5000, 0.0000, 0.0000)
V (0.0000, 0.0000, 0.5000)
Zn (0.0000, 0.5000, 0.0000)
Al (0.5000, 0.5000, 0.5000)

***

no.,ΔH_f (0 K) (meV/atom),V (Å³/cell)
1,-598,532.0
2,-64,73.5
3,-475,100.5
4,1901,98.1